(1)
This record from Alexandria via LeMat-Bulk describes an optimized crystal structure of Li6NiF8. The functional is GGA+U.

Output
The value obtained for the uncorrected energy is -70.678 eV per cell.

Cell: 5.8576 5.8576 5.8576 Å, 60.00 60.00 60.00°
Closest atoms and distances in Å follow each position.
Sites, in units of the cell vectors:
Li 0.0000 0.5000 0.5000  6 F 2.07
Li 0.5000 0.0000 0.0000  6 F 2.07
Li 0.5000 0.5000 0.0000  6 F 2.07
Li 0.0000 0.0000 0.5000  6 F 2.07
Li 0.0000 0.5000 0.0000  6 F 2.07
Li 0.5000 0.0000 0.5000  6 F 2.07
Ni 0.0000 0.0000 0.0000  6 F 1.99
F 0.7500 0.7500 0.7500  6 Li 2.07
F 0.2500 0.2500 0.2500  6 Li 2.07
F 0.7594 0.2406 0.2406  1 Ni 1.99, 4 Li 2.07
F 0.2406 0.7594 0.7594  1 Ni 1.99, 4 Li 2.07
F 0.2406 0.2406 0.7594  1 Ni 1.99, 4 Li 2.07
F 0.7594 0.7594 0.2406  1 Ni 1.99, 4 Li 2.07
F 0.7594 0.2406 0.7594  1 Ni 1.99, 4 Li 2.07
F 0.2406 0.7594 0.2406  1 Ni 1.99, 4 Li 2.07


(2)
This record from Alexandria via LeMat-Bulk describes an optimized crystal structure of LiNiF. The functional is GGA+U.

Output
The value obtained for the uncorrected energy is -19.004 eV per cell. The value obtained for the energy above the lowest structure with this stoichiometry is 434 meV per atom.

Cell: 2.7986 2.7986 10.8012 Å, 90.00 90.00 120.00°
Closest atoms and distances in Å follow each position.
Sites, in units of the cell vectors:
Ni 0.3333 0.6667 0.4261  3 F 2.70, 6 Ni 2.80, 3 Li 2.95
Ni 0.6667 0.3333 0.9261  3 F 2.70, 6 Ni 2.80, 3 Li 2.95
Li 0.0000 0.0000 0.6972  3 F 1.79
Li 0.0000 0.0000 0.1972  3 F 1.79
F 0.3333 0.6667 0.1267  3 Li 1.79
F 0.6667 0.3333 0.6267  3 Li 1.79


(3)
This record from Alexandria via LeMat-Bulk describes an optimized crystal structure of LiNiF2. The functional is GGA+U.

Output
The value obtained for the uncorrected energy is -13.233 eV per cell.

Cell: 3.7974 3.7974 3.7974 Å, 60.00 60.00 60.00°
Closest atoms and distances in Å follow each position.
Sites, in units of the cell vectors:
Ni 0.5000 0.5000 0.5000  8 F 2.33
Li 0.0000 0.0000 0.0000  8 F 2.33
F 0.2500 0.2500 0.2500  4 Li 2.33, 4 Ni 2.33
F 0.7500 0.7500 0.7500  4 Li 2.33, 4 Ni 2.33


(4)
This record from Alexandria via LeMat-Bulk describes an optimized crystal structure of Li4Ni2F9. The functional is GGA+U.

Output
The value obtained for the uncorrected energy is -132.587 eV per cell.

Cell: 5.0785 5.0772 13.8596 Å, 90.01 90.00 59.99°
Closest atoms and distances in Å follow each position.
Sites, in units of the cell vectors:
Li 0.3338 0.3332 0.9827  6 F 1.98-2.14
Li 0.3327 0.3336 0.4813  6 F 2.02-2.16
Li 0.6662 0.6668 0.0173  6 F 1.98-2.14
Li 0.3322 0.3338 0.1721  6 F 1.97-2.14
Li 0.6673 0.6664 0.5187  6 F 2.02-2.16
Li 0.6653 0.6674 0.3121  6 F 1.96-2.18
Li 0.3347 0.3326 0.6879  6 F 1.96-2.18
Li 0.6678 0.6662 0.8279  6 F 1.97-2.14
Ni 0.9988 0.0005 0.3488  6 F 1.90-1.96
Ni 0.9990 0.0005 0.1423  3 F 1.93
Ni 0.0012 0.9995 0.6513  6 F 1.90-1.96
Ni 0.0010 0.9995 0.8577  3 F 1.93
F 0.9958 0.2978 0.7418  1 Ni 1.96, 2 Li 1.96-2.14
F 0.2996 0.7065 0.7418  1 Ni 1.96, 2 Li 1.96-2.14
F 0.7084 0.9939 0.7418  1 Ni 1.96, 2 Li 1.96-2.14
F 0.0042 0.7022 0.2582  1 Ni 1.96, 2 Li 1.96-2.14
F 0.7004 0.2935 0.2582  1 Ni 1.96, 2 Li 1.96-2.14
F 0.2916 0.0061 0.2582  1 Ni 1.96, 2 Li 1.96-2.14
F 0.6874 0.9756 0.4167  1 Ni 1.90, 1 Li 2.02
F 0.9743 0.3369 0.4167  1 Ni 1.90, 1 Li 2.02
F 0.3354 0.6887 0.4166  1 Ni 1.90, 1 Li 2.02
F 0.6405 0.0207 0.0865  1 Ni 1.93, 3 Li 1.97-2.13
F 0.3376 0.6417 0.0865  1 Ni 1.93, 3 Li 1.97-2.13
F 0.0194 0.3388 0.0865  1 Ni 1.93, 3 Li 1.97-2.14
F 0.3126 0.0244 0.5833  1 Ni 1.90, 1 Li 2.02
F 0.0257 0.6631 0.5833  1 Ni 1.90, 1 Li 2.02
F 0.6646 0.3113 0.5834  1 Ni 1.90, 1 Li 2.02
F 0.3595 0.9793 0.9135  1 Ni 1.93, 3 Li 1.97-2.13
F 0.6624 0.3583 0.9135  1 Ni 1.93, 3 Li 1.97-2.13
F 0.9806 0.6612 0.9135  1 Ni 1.93, 3 Li 1.97-2.14


(5)
This record from Alexandria via LeMat-Bulk describes an optimized crystal structure of Li3NiF6. The functional is GGA+U.

Output
The value obtained for the uncorrected energy is -88.525 eV per cell. The value obtained for the energy above the lowest structure with this stoichiometry is 4 meV per atom.

Cell: 5.9574 5.9574 5.9574 Å, 91.29 91.29 91.29°
Closest atoms and distances in Å follow each position.
Sites, in units of the cell vectors:
Li 0.4417 0.9356 0.7511  5 F 1.97-2.18
Li 0.9356 0.7511 0.4417  5 F 1.97-2.18
Li 0.2489 0.5583 0.0644  5 F 1.97-2.18
Li 0.7511 0.4417 0.9356  5 F 1.97-2.18
Li 0.0644 0.2489 0.5583  5 F 1.97-2.18
Li 0.5583 0.0644 0.2489  5 F 1.97-2.18
Ni 0.0000 0.0000 0.0000  6 F 1.91
Ni 0.5000 0.5000 0.5000  6 F 1.91
F 0.3024 0.9290 0.0760  1 Ni 1.91, 2 Li 1.97-2.12
F 0.0710 0.9240 0.6976  1 Ni 1.91, 2 Li 1.97-2.12
F 0.5970 0.8020 0.4500  1 Ni 1.91, 2 Li 2.00-2.05
F 0.9240 0.6976 0.0710  1 Ni 1.91, 2 Li 1.97-2.12
F 0.4500 0.5970 0.8020  1 Ni 1.91, 2 Li 2.00-2.05
F 0.1980 0.5500 0.4030  1 Ni 1.91, 2 Li 2.00-2.05
F 0.8020 0.4500 0.5970  1 Ni 1.91, 2 Li 2.00-2.05
F 0.5500 0.4030 0.1980  1 Ni 1.91, 2 Li 2.00-2.05
F 0.0760 0.3024 0.9290  1 Ni 1.91, 2 Li 1.97-2.12
F 0.4030 0.1980 0.5500  1 Ni 1.91, 2 Li 2.00-2.05
F 0.9290 0.0760 0.3024  1 Ni 1.91, 2 Li 1.97-2.12
F 0.6976 0.0710 0.9240  1 Ni 1.91, 2 Li 1.97-2.12


(6)
This record from Alexandria via LeMat-Bulk describes an optimized crystal structure of Li2NiF6. The functional is GGA+U.

Output
The value obtained for the uncorrected energy is -73.179 eV per cell.

Cell: 4.6069 4.6069 8.8298 Å, 90.00 90.00 90.00°
Closest atoms and distances in Å follow each position.
Sites, in units of the cell vectors:
Li 0.0000 0.0000 0.3362  6 F 2.04-2.05
Li 0.5000 0.5000 0.8362  6 F 2.04-2.05
Li 0.5000 0.5000 0.1638  6 F 2.04-2.05
Li 0.0000 0.0000 0.6638  6 F 2.04-2.05
Ni 0.0000 0.0000 0.0000  6 F 1.80
Ni 0.5000 0.5000 0.5000  6 F 1.80
F 0.3127 0.3127 0.3495  1 Ni 1.80
F 0.6873 0.6873 0.3495  1 Ni 1.80
F 0.1873 0.8127 0.8495  1 Ni 1.80
F 0.8127 0.1873 0.8495  1 Ni 1.80
F 0.1873 0.8127 0.1505  1 Ni 1.80
F 0.8127 0.1873 0.1505  1 Ni 1.80
F 0.3127 0.3127 0.6505  1 Ni 1.80
F 0.6873 0.6873 0.6505  1 Ni 1.80
F 0.2770 0.2770 0.0000  1 Ni 1.80
F 0.7230 0.7230 0.0000  1 Ni 1.80
F 0.2230 0.7770 0.5000  1 Ni 1.80
F 0.7770 0.2230 0.5000  1 Ni 1.80


(7)
This record from Alexandria via LeMat-Bulk describes an optimized crystal structure of LiNiF. The functional is GGA+U.

Output
The value obtained for the uncorrected energy is -21.088 eV per cell. The value obtained for the energy above the lowest structure with this stoichiometry is 87 meV per atom.

Cell: 9.8479 9.8479 9.8479 Å, 16.29 16.29 16.29°
Closest atoms and distances in Å follow each position.
Sites, in units of the cell vectors:
Ni 0.4837 0.4837 0.4837  1 F 2.03
Ni 0.8836 0.8836 0.8836  9 Ni 2.52-2.79
Li 0.3012 0.3012 0.3012  3 F 1.85
Li 0.7175 0.7175 0.7175  3 F 1.83
F 0.9991 0.9991 0.9991  3 Li 1.85
F 0.4141 0.4141 0.4141  3 Li 1.83, 1 Ni 2.03


(8)
This record from Alexandria via LeMat-Bulk describes an optimized crystal structure of Li3NiF7. The functional is GGA+U.

Output
The value obtained for the uncorrected energy is -45.933 eV per cell.

Cell: 4.9637 4.9637 5.3334 Å, 78.41 78.41 89.16°
Closest atoms and distances in Å follow each position.
Sites, in units of the cell vectors:
Li 0.8582 0.3883 0.3900  4 F 1.84-2.00
Li 0.4916 0.4916 0.8622  3 F 1.82-1.98
Li 0.3883 0.8582 0.3900  4 F 1.84-2.00
Ni 0.9815 0.9815 0.0065  6 F 1.79-1.82
F 0.2164 0.2164 0.0829  1 Ni 1.82, 1 Li 1.97
F 0.7208 0.0920 0.2544  1 Ni 1.82, 2 Li 1.95-1.96
F 0.8741 0.2438 0.7655  1 Ni 1.79, 1 Li 2.00
F 0.0920 0.7208 0.2544  1 Ni 1.82, 2 Li 1.95-1.96
F 0.5195 0.5195 0.5118  3 Li 1.82-1.84
F 0.2438 0.8741 0.7655  1 Ni 1.79, 1 Li 2.00
F 0.7387 0.7387 0.9669  1 Ni 1.79, 1 Li 1.98


(9)
This record from Alexandria via LeMat-Bulk describes an optimized crystal structure of Li3NiF6. The functional is GGA+U.

Output
The value obtained for the uncorrected energy is -42.145 eV per cell. The value obtained for the energy above the lowest structure with this stoichiometry is 216 meV per atom.

Cell: 5.3881 5.3881 5.3881 Å, 60.00 60.00 60.00°
Closest atoms and distances in Å follow each position.
Sites, in units of the cell vectors:
Li 0.2500 0.2500 0.2500  12 F 2.69
Li 0.7500 0.7500 0.7500  12 F 2.69
Li 0.5000 0.5000 0.5000  6 F 1.93
Ni 0.0000 0.0000 0.0000  6 F 1.88
F 0.2465 0.2465 0.7535  1 Ni 1.88, 1 Li 1.93
F 0.2465 0.7535 0.7535  1 Ni 1.88, 1 Li 1.93
F 0.7535 0.7535 0.2465  1 Ni 1.88, 1 Li 1.93
F 0.2465 0.7535 0.2465  1 Ni 1.88, 1 Li 1.93
F 0.7535 0.2465 0.7535  1 Ni 1.88, 1 Li 1.93
F 0.7535 0.2465 0.2465  1 Ni 1.88, 1 Li 1.93


(10)
This record from Alexandria via LeMat-Bulk describes an optimized crystal structure of LiNi3F8. The functional is GGA+U.

Output
The value obtained for the uncorrected energy is -49.688 eV per cell.

Cell: 6.1914 6.1491 5.6864 Å, 122.77 90.00 120.23°
Closest atoms and distances in Å follow each position.
Sites, in units of the cell vectors:
Li 0.0000 0.0000 0.0000  6 F 1.97-2.14
Ni 0.5000 0.0000 0.0000  6 F 1.90-1.99
Ni 0.5000 0.5000 0.0000  6 F 1.98-2.09
Ni 0.0000 0.5000 0.0000  6 F 1.98-2.09
F 0.2619 0.5239 0.7681  3 Ni 1.99-2.09
F 0.7381 0.4761 0.2319  3 Ni 1.99-2.09
F 0.2822 0.0141 0.7804  2 Ni 1.90-2.05
F 0.7319 0.0141 0.7804  2 Ni 1.90-2.05
F 0.7681 0.5361 0.8054  1 Li 1.97, 2 Ni 1.98
F 0.2319 0.4639 0.1946  1 Li 1.97, 2 Ni 1.98
F 0.2681 0.9859 0.2196  2 Ni 1.90-2.05
F 0.7178 0.9859 0.2196  2 Ni 1.90-2.05


(11)
This record from Alexandria via LeMat-Bulk describes an optimized crystal structure of Li2Ni2F7. The functional is GGA+U.

Output
The value obtained for the uncorrected energy is -46.089 eV per cell. The value obtained for the energy above the lowest structure with this stoichiometry is 0 meV per atom.

Cell: 5.4028 5.3648 5.3648 Å, 114.52 98.79 98.79°
Closest atoms and distances in Å follow each position.
Sites, in units of the cell vectors:
Li 0.3692 0.2522 0.2522  3 F 1.80-1.85
Li 0.6308 0.7478 0.7478  3 F 1.80-1.85
Ni 0.0000 0.3208 0.6792  6 F 2.00-2.08
Ni 0.0000 0.6792 0.3208  6 F 2.00-2.08
F 0.8032 0.9291 0.5749  1 Li 1.85, 2 Ni 2.00-2.04
F 0.1968 0.4251 0.0709  1 Li 1.85, 2 Ni 2.00-2.04
F 0.1968 0.0709 0.4251  1 Li 1.85, 2 Ni 2.00-2.04
F 0.8032 0.5749 0.9291  1 Li 1.85, 2 Ni 2.00-2.04
F 0.5000 0.0000 0.0000  2 Li 1.80
F 0.2402 0.6282 0.6282  1 Li 2.03, 2 Ni 2.08, 1 F 2.22
F 0.7598 0.3718 0.3718  1 Li 2.03, 2 Ni 2.08, 1 F 2.22


(12)
This record from Alexandria via LeMat-Bulk describes an optimized crystal structure of Li4NiF6. The functional is GGA+U.

Output
The value obtained for the uncorrected energy is -101.382 eV per cell.

Cell: 2.8603 4.9644 14.9505 Å, 90.00 90.00 106.74°
Closest atoms and distances in Å follow each position.
Sites, in units of the cell vectors:
Li 0.8633 0.7266 0.5410  6 F 2.01-2.06
Li 0.3928 0.7856 0.1239  6 F 1.94-2.13
Li 0.1367 0.2734 0.4590  6 F 2.01-2.06
Li 0.6072 0.2144 0.8761  6 F 1.94-2.13
Li 0.8633 0.7266 0.9590  6 F 2.01-2.06
Li 0.1367 0.2734 0.0410  6 F 2.01-2.06
Li 0.6072 0.2144 0.6239  6 F 1.94-2.13
Li 0.3928 0.7856 0.3761  6 F 1.94-2.13
Ni 0.6392 0.2784 0.2500  6 F 2.02-2.10
Ni 0.3608 0.7216 0.7500  6 F 2.02-2.10
F 0.5000 0.0000 0.0000  6 Li 2.03-2.11
F 0.5000 0.0000 0.5000  6 Li 2.03-2.11
F 0.0449 0.0898 0.3341  3 Li 2.06-2.13, 2 Ni 2.10
F 0.9551 0.9102 0.6659  3 Li 2.06-2.13, 2 Ni 2.10
F 0.9551 0.9102 0.8341  3 Li 2.06-2.13, 2 Ni 2.10
F 0.0449 0.0898 0.1659  3 Li 2.06-2.13, 2 Ni 2.10
F 0.7730 0.5460 0.4192  5 Li 1.94-2.02
F 0.2270 0.4540 0.5808  5 Li 1.94-2.02
F 0.2270 0.4540 0.9192  5 Li 1.94-2.02
F 0.7730 0.5460 0.0808  5 Li 1.94-2.02
F 0.2897 0.5795 0.2500  2 Ni 2.02, 2 Li 2.12
F 0.7103 0.4205 0.7500  2 Ni 2.02, 2 Li 2.12


Question: Among the records above, which one has the highest uncorrected energy?
Answer: LiNiF2


Question: Which of these has the lowest uncorrected energy?
Answer: Li4Ni2F9